[1]
8
Lattice="3.1949 0.0000 0.0000 0.0000 4.5931 0.0000 0.0000 0.0000 9.3056" Properties=species:S:1:pos:R:3 comment="LiTa2Ru | Alexandria | PBE-GGA | relaxed" n_ef_per_ev_atom=0.87 formation_energy_ev_per_atom=0.186 crystal_system=orthorhombic pbc="T T T"
Li 0.0000 0.0000 0.0000
Li 1.5974 2.2966 0.0000
Ta 0.0000 2.2966 2.5213
Ta 0.0000 2.2966 6.7842
Ta 1.5974 0.0000 2.5213
Ta 1.5974 0.0000 6.7842
Ru 0.0000 0.0000 4.6528
Ru 1.5974 2.2966 4.6528

[2]
12
Lattice="2.6321 -10.5174 0.0000 2.6321 10.5174 0.0000 0.0000 0.0000 6.3128" Properties=species:S:1:pos:R:3 comment="Tb4ScAg | Alexandria | PBE-GGA | relaxed" n_ef_per_ev_atom=1.32 e_above_lowest_polymorph_ev_per_atom=0.135 formation_energy_ev_per_atom=0.069 crystal_system=orthorhombic pbc="T T T"
Tb 2.6321 9.8241 3.1564
Tb 2.6321 6.8904 2.0226
Tb 2.6321 5.4144 5.0375
Tb 2.6321 1.4467 4.1628
Tb 2.6321 -1.4467 1.0065
Tb 2.6321 -5.4144 1.8811
Tb 2.6321 -6.8904 5.1790
Tb 2.6321 -9.8241 0.0000
Sc 2.6321 2.8189 0.9698
Sc 2.6321 -2.8189 4.1262
Ag 2.6321 8.2912 5.6680
Ag 2.6321 -8.2912 2.5116

[3]
15
Lattice="4.0708 2.3503 8.1753 -4.0708 2.3503 8.1753 0.0000 -4.7005 8.1753" Properties=species:S:1:pos:R:3 comment="Rb3Er3NbSe8 | Alexandria | PBE-GGA | relaxed" n_ef_per_ev_atom=0.31 crystal_system=trigonal e_form_raw_ev_per_atom=-1.499 pbc="T T T"
Rb -2.0354 -1.1751 8.1753
Rb -2.0354 1.1751 16.3505
Rb 0.0000 2.3503 8.1753
Er -4.0708 0.0000 12.2629
Er -2.0354 1.1751 4.0876
Er 2.0354 1.1751 4.0876
Nb 0.0000 0.0000 12.2629
Se 0.0000 0.0000 5.6838
Se -1.9263 -1.1121 13.7884
Se 0.0000 -2.2243 10.7375
Se -1.9263 1.1121 10.7375
Se 1.9263 -1.1121 13.7883
Se 0.0000 2.2243 13.7883
Se 1.9263 1.1121 10.7375
Se 0.0000 0.0000 18.8420

[4]
12
Lattice="6.6640 0.0000 0.0000 0.0000 6.6640 0.0000 0.0000 0.0000 6.6640" Properties=species:S:1:pos:R:3 comment="ZrMnIn | Alexandria | PBE-GGA | relaxed" n_ef_per_ev_atom=1.67 formation_energy_ev_per_atom=0.710 crystal_system=cubic pbc="T T T"
Zr 0.0000 0.0000 0.0000
Zr 0.0000 3.3320 3.3320
Zr 3.3320 0.0000 3.3320
Zr 3.3320 3.3320 0.0000
Mn 1.6660 1.6660 4.9980
Mn 1.6660 4.9980 1.6660
Mn 4.9980 1.6660 1.6660
Mn 4.9980 4.9980 4.9980
In 1.6660 1.6660 1.6660
In 1.6660 4.9980 4.9980
In 4.9980 1.6660 4.9980
In 4.9980 4.9980 1.6660

[5]
12
Lattice="2.8252 -10.9790 0.0000 2.8252 10.9790 0.0000 0.0000 0.0000 7.9583" Properties=species:S:1:pos:R:3 comment="Ba4TlN | Alexandria | PBE-GGA | relaxed" n_ef_per_ev_atom=0.84 e_above_lowest_polymorph_ev_per_atom=0.000 crystal_system=orthorhombic e_form_raw_ev_per_atom=-0.318 pbc="T T T"
Ba 0.0000 0.0000 0.0000
Ba 0.0000 0.0000 3.9792
Ba 2.8252 7.1561 0.0033
Ba 2.8252 7.1561 3.9758
Ba 2.8252 1.8159 5.9687
Ba 2.8252 -1.8159 1.9896
Ba 2.8252 -7.1561 7.9550
Ba 2.8252 -7.1561 3.9825
Tl 2.8252 2.0875 1.9896
Tl 2.8252 -2.0875 5.9687
N 2.8252 8.8033 1.9896
N 2.8252 -8.8033 5.9687

[6]
8
Lattice="9.6348 0.0000 0.0000 0.0000 3.0350 0.0000 -0.9941 0.0000 5.3775" Properties=species:S:1:pos:R:3 comment="Tl2CrW | Alexandria | PBE-GGA | relaxed" n_ef_per_ev_atom=0.71 e_above_lowest_polymorph_ev_per_atom=0.359 formation_energy_ev_per_atom=0.960 crystal_system=monoclinic pbc="T T T"
Tl 2.1542 0.0000 1.3437
Tl 1.6691 1.5175 4.0338
Tl 6.9716 1.5175 1.3437
Tl 6.4865 0.0000 4.0338
Cr 0.0000 1.5175 0.0000
Cr 4.8174 0.0000 0.0000
W -0.4970 0.0000 2.6887
W 4.3204 1.5175 2.6887

[7]
16
Lattice="4.1146 0.0000 0.0000 0.0000 4.1146 0.0000 0.0000 0.0000 20.5110" Properties=species:S:1:pos:R:3 comment="Nb2InBr | Alexandria | PBE-GGA | relaxed" n_ef_per_ev_atom=0.57 e_above_lowest_polymorph_ev_per_atom=0.092 crystal_system=tetragonal e_form_raw_ev_per_atom=0.596 pbc="T T T"
Nb 1.0200 1.0286 2.5639
Nb 1.0286 3.0773 7.6916
Nb 1.0286 3.0946 17.9471
Nb 1.0373 1.0286 12.8194
Nb 3.0773 3.0859 12.8194
Nb 3.0859 1.0200 17.9471
Nb 3.0859 1.0373 7.6916
Nb 3.0946 3.0859 2.5639
In 0.0000 0.0000 0.0000
In 0.0000 2.0573 5.1277
In 2.0573 0.0000 15.3832
In 2.0573 2.0573 10.2555
Br 0.0000 0.0000 10.2555
Br 0.0000 2.0573 15.3832
Br 2.0573 0.0000 5.1277
Br 2.0573 2.0573 0.0000

[8]
5
Lattice="5.2733 0.0000 0.0000 0.0000 5.2733 0.0000 0.0000 0.0000 5.7448" Properties=species:S:1:pos:R:3 comment="CaSbMoSe2 | Alexandria | PBE-GGA | relaxed" n_ef_per_ev_atom=0.76 crystal_system=tetragonal e_form_raw_ev_per_atom=0.965 pbc="T T T"
Ca 0.0000 0.0000 0.0000
Sb 2.6367 2.6367 2.8724
Mo 0.0000 0.0000 2.8724
Se 0.0000 2.6367 0.0000
Se 2.6367 0.0000 0.0000

[9]
10
Lattice="3.7044 2.1387 6.9829 -3.7044 2.1387 6.9829 0.0000 -4.2775 6.9829" Properties=species:S:1:pos:R:3 comment="PaTlSe3 | Alexandria | PBE-GGA | relaxed" e_above_lowest_polymorph_ev_per_atom=0.070 crystal_system=trigonal e_form_raw_ev_per_atom=-1.017 pbc="T T T"
Pa 0.0000 0.0000 3.4474
Pa 0.0000 0.0000 17.5012
Tl 0.0000 0.0000 7.8161
Tl 0.0000 0.0000 13.1326
Se -0.0250 -2.1205 5.2757
Se -1.8239 1.0819 5.2757
Se -1.8239 -1.0819 15.6730
Se 1.8489 1.0385 5.2757
Se -0.0250 2.1205 15.6730
Se 1.8489 -1.0385 15.6730

[10]
8
Lattice="6.2301 0.0000 0.0000 0.0000 3.5996 0.0000 -2.0772 0.0000 5.8781" Properties=species:S:1:pos:R:3 comment="Ce2PrSmN4 | Alexandria | PBE-GGA | relaxed" n_ef_per_ev_atom=0.59 crystal_system=monoclinic e_form_raw_ev_per_atom=-1.463 pbc="T T T"
Ce 0.0000 0.0000 0.0000
Ce -1.0386 1.7998 2.9391
Pr 2.0764 0.0000 2.9391
Sm 3.1151 1.7998 0.0000
N 0.9513 1.7998 1.4137
N -0.0815 0.0000 4.4063
N 4.2344 0.0000 1.4718
N 3.2016 1.7998 4.4644

[11]
5
Lattice="5.2325 0.0000 0.0000 0.0000 5.2325 0.0000 0.0000 0.0000 5.2480" Properties=species:S:1:pos:R:3 comment="SiGeSbTe2 | Alexandria | PBE-GGA | relaxed" n_ef_per_ev_atom=0.78 e_above_lowest_polymorph_ev_per_atom=0.000 crystal_system=tetragonal e_form_raw_ev_per_atom=0.602 pbc="T T T"
Si 0.0000 0.0000 0.0000
Ge 2.6162 2.6162 2.6240
Sb 0.0000 0.0000 2.6240
Te 0.0000 2.6162 0.0000
Te 2.6162 0.0000 0.0000

[12]
16
Lattice="13.4787 0.0000 0.0000 0.0000 6.9037 0.0000 0.0000 0.0000 6.7608" Properties=species:S:1:pos:R:3 comment="Cs3WS4 | Alexandria | PBE-GGA | relaxed" n_ef_per_ev_atom=0.64 e_above_lowest_polymorph_ev_per_atom=0.000 crystal_system=orthorhombic e_form_raw_ev_per_atom=-0.962 pbc="T T T"
Cs 0.0000 1.1978 0.0000
Cs 3.3732 1.8436 3.6624
Cs 3.3661 5.0601 0.2820
Cs 6.7394 5.7059 3.3804
Cs 10.1055 1.8436 3.6624
Cs 10.1126 5.0601 0.2820
W 0.0000 4.4703 2.9379
W 6.7394 2.4335 6.3183
S 0.0000 2.2655 3.3736
S 0.0000 4.6326 0.6951
S 1.9545 5.3475 3.6902
S 4.7849 1.5563 0.3098
S 6.7394 2.2712 4.0755
S 6.7394 4.6383 6.7540
S 8.6938 1.5563 0.3098
S 11.5243 5.3475 3.6902